No. 1
This record from Alexandria via LeMat-Bulk describes a relaxed structure of TaCr2P. The functional is GGA-PBE.

Output
Its symmetry is I-4m2. The formation energy is -58 meV per atom.

a = 4.859 Å, b = 4.859 Å, c = 4.859 Å
α = 136.75°, β = 136.75°, γ = 62.82°
Element x y z (fractional)
Ta1 0.000 0.000 0.000
Cr1 0.250 0.750 0.500
Cr2 0.500 0.500 0.000
P1 0.750 0.250 0.500

No. 2
This record from Alexandria via LeMat-Bulk describes a relaxed structure of TaCr2P. The functional is GGA-PBE.

Output
Its symmetry is Cmmm. The formation energy is -11 meV per atom.

a = 2.790 Å, b = 2.790 Å, c = 7.452 Å
α = 90.00°, β = 90.00°, γ = 110.34°
Element x y z (fractional)
Ta1 0.000 0.000 0.000
Cr1 0.500 0.500 0.284
Cr2 0.500 0.500 0.716
P1 0.000 0.000 0.500

No. 3
This record from Alexandria via LeMat-Bulk describes a relaxed structure of TaCr2P. The functional is GGA-PBE.

Output
Its symmetry is F-43m. The formation energy is 108 meV per atom.

a = 4.209 Å, b = 4.209 Å, c = 4.209 Å
α = 60.00°, β = 60.00°, γ = 60.00°
Element x y z (fractional)
Ta1 0.000 0.000 0.000
Cr1 0.250 0.250 0.250
Cr2 0.500 0.500 0.500
P1 0.750 0.750 0.750

No. 4
This record from Alexandria via LeMat-Bulk describes a relaxed structure of TaCr2P. The functional is GGA-PBE.

Output
Its symmetry is Pm. The formation energy is -137 meV per atom.

a = 2.997 Å, b = 3.953 Å, c = 4.655 Å
α = 90.00°, β = 103.16°, γ = 90.00°
Element x y z (fractional)
Ta1 0.000 0.000 0.000
Cr1 0.416 0.000 0.510
Cr2 0.719 0.500 0.350
P1 0.434 0.500 0.803

No. 5
This record from Alexandria via LeMat-Bulk describes a relaxed structure of TaCr2P. The functional is GGA-PBE.

Output
Its symmetry is I-42d. The formation energy is 269 meV per atom.

a = 5.505 Å, b = 5.505 Å, c = 5.505 Å
α = 101.37°, β = 101.37°, γ = 127.27°
Element x y z (fractional)
Ta1 0.000 0.000 0.000
Ta2 0.750 0.250 0.500
Cr1 0.202 0.125 0.577
Cr2 0.375 0.798 0.923
Cr3 0.548 0.625 0.423
Cr4 0.875 0.452 0.077
P1 0.250 0.750 0.500
P2 0.500 0.500 0.000

No. 6
This record from Alexandria via LeMat-Bulk describes a relaxed structure of TaCrP. The functional is GGA-PBE.

Output
Its symmetry is F-43m. The formation energy is -106 meV per atom.

a = 4.062 Å, b = 4.062 Å, c = 4.062 Å
α = 60.00°, β = 60.00°, γ = 60.00°
Element x y z (fractional)
Ta1 0.000 0.000 0.000
Cr1 0.500 0.500 0.500
P1 0.250 0.250 0.250